A relaxed structure of SrCa2SbO6. Source: the Alexandria database, functional PBE-GGA.

Unit cell a=5.8522 b=5.8522 c=6.1341 alpha=61.51 beta=61.51 gamma=60.00
With the nearest neighbours (Å) after each atom.
Sites, in units of the cell vectors:
Sr1 0.8065 0.8066 0.5803  6 O 2.41-2.62
Ca1 0.5322 0.5321 0.4037  6 O 2.36-2.48
Ca2 0.0222 0.0222 0.9333  6 O 2.31-2.48
Sb1 0.3198 0.3198 0.0406  6 O 2.01-2.04
O1 0.5674 0.2225 0.2365  1 Sb 2.01
O2 0.2225 0.9736 0.2366  1 Sb 2.01
O3 0.9736 0.5674 0.2365  1 Sb 2.01
O4 0.4060 0.6709 0.7826  1 Sb 2.04
O5 0.6709 0.1404 0.7826  1 Sb 2.04
O6 0.1405 0.4060 0.7826  1 Sb 2.04

Symmetry = R3 (146)
VASP energy = -6.23 eV per atom
V = 151.8 Å³/cell
Uncorrected formation energy = -2192 kJ/mol of formula units

A relaxed structure of Sr2Ca4Sb3O2. Source: the Alexandria database, functional PBE-GGA.

Unit cell a=4.7763 b=4.7763 c=13.4868 alpha=100.20 beta=100.20 gamma=90.00
With the nearest neighbours (Å) after each atom.
Sites, in units of the cell vectors:
Sr1 0.3078 0.3078 0.6156  1 O 2.47
Sr2 0.6922 0.6922 0.3844  1 O 2.47
Ca1 0.4171 0.9171 0.8341  2 O 2.42
Ca2 0.9171 0.4171 0.8341  2 O 2.42
Ca3 0.0829 0.5829 0.1659  2 O 2.42
Ca4 0.5829 0.0829 0.1659  2 O 2.42
Sb1 0.0000 0.0000 0.0000  8 Ca 3.22
Sb2 0.1738 0.1738 0.3476  4 Ca 3.37, 5 Sr 3.41-3.50
Sb3 0.8262 0.8262 0.6524  4 Ca 3.37, 5 Sr 3.41-3.50
O1 0.4026 0.4026 0.8051  4 Ca 2.42, 1 Sr 2.47
O2 0.5974 0.5974 0.1949  4 Ca 2.42, 1 Sr 2.47

Symmetry = I4/mmm (139)
VASP energy = -4.74 eV per atom
V = 297.9 Å³/cell
Uncorrected formation energy = -1783 kJ/mol of formula units

A relaxed structure of Sr2CaSbO6. Source: the Alexandria database, functional PBE-GGA.

Unit cell a=6.0179 b=5.8813 c=10.2409 alpha=54.79 beta=90.00 gamma=90.00
With the nearest neighbours (Å) after each atom.
Sites, in units of the cell vectors:
Sr1 0.4558 0.2396 0.7480  6 O 2.54-2.81
Sr2 0.5442 0.7604 0.2520  6 O 2.54-2.81
Sr3 0.9558 0.7604 0.7520  6 O 2.54-2.81
Sr4 0.0442 0.2396 0.2480  6 O 2.54-2.81
Ca1 0.0000 0.5000 0.5000  6 O 2.31-2.34
Ca2 0.5000 0.5000 0.0000  6 O 2.31-2.34
Sb1 0.0000 0.0000 0.0000  6 O 2.01
Sb2 0.5000 0.0000 0.5000  6 O 2.01
O1 0.7308 0.8630 0.9480  1 Sb 2.01
O2 0.2692 0.1370 0.0520  1 Sb 2.01
O3 0.2308 0.1370 0.5520  1 Sb 2.01
O4 0.7692 0.8630 0.4480  1 Sb 2.01
O5 0.0325 0.3196 0.7693  1 Sb 2.01
O6 0.9675 0.6804 0.2307  1 Sb 2.01
O7 0.5325 0.6804 0.7307  1 Sb 2.01
O8 0.4675 0.3196 0.2693  1 Sb 2.01
O9 0.1931 0.7699 0.9580  1 Sb 2.01
O10 0.8069 0.2301 0.0420  1 Sb 2.01
O11 0.6931 0.2301 0.5420  1 Sb 2.01
O12 0.3069 0.7699 0.4580  1 Sb 2.01

Symmetry = P2_1/c (14)
VASP energy = -6.25 eV per atom
V = 296.1 Å³/cell
Uncorrected formation energy = -2243 kJ/mol of formula units

A relaxed structure of SrCaYSbO6. Source: the Alexandria database, functional PBE-GGA.

Unit cell a=5.9107 b=5.9107 c=5.9107 alpha=60.00 beta=60.00 gamma=60.00
With the nearest neighbours (Å) after each atom.
Sites, in units of the cell vectors:
Sr1 0.2500 0.2500 0.2500  12 O 2.96
Ca1 0.7500 0.7500 0.7500  12 O 2.96
Y1 0.5000 0.5000 0.5000  6 O 2.20
Sb1 0.0000 0.0000 0.0000  6 O 1.98
O1 0.2374 0.7626 0.2374  1 Sb 1.98, 1 Y 2.20
O2 0.7626 0.2374 0.7626  1 Sb 1.98, 1 Y 2.20
O3 0.2374 0.7626 0.7626  1 Sb 1.98, 1 Y 2.20
O4 0.7626 0.2374 0.2374  1 Sb 1.98, 1 Y 2.20
O5 0.2374 0.2374 0.7626  1 Sb 1.98, 1 Y 2.20
O6 0.7626 0.7626 0.2374  1 Sb 1.98, 1 Y 2.20

Symmetry = F-43m (216)
VASP energy = -6.97 eV per atom
V = 146.0 Å³/cell
Uncorrected formation energy = -2477 kJ/mol of formula units

A relaxed structure of CaTa2SbO8. Source: the Alexandria database, functional PBE-GGA.

Unit cell a=4.9567 b=4.9520 c=6.4140 alpha=90.01 beta=90.01 gamma=88.12
With the nearest neighbours (Å) after each atom.
Sites, in units of the cell vectors:
Ca1 0.0000 0.0000 0.5000  6 O 2.27-2.32
Ta1 0.5003 0.5003 0.7478  6 O 1.97-2.10
Ta2 0.4997 0.4997 0.2522  6 O 1.97-2.10
Sb1 0.0000 0.0000 0.0000  6 O 2.10-2.22
O1 0.2147 0.7840 0.2312  1 Ta 1.97, 1 Sb 2.10
O2 0.6872 0.6887 0.9999  2 Ta 2.10, 1 Sb 2.22
O3 0.7856 0.2162 0.2312  1 Ta 1.97, 1 Sb 2.10
O4 0.7853 0.2160 0.7688  1 Ta 1.97, 1 Sb 2.10
O5 0.3128 0.3113 0.0001  2 Ta 2.10, 1 Sb 2.22
O6 0.2144 0.7838 0.7688  1 Ta 1.97, 1 Sb 2.10
O7 0.6738 0.6753 0.5001  2 Ta 2.02
O8 0.3262 0.3247 0.4999  2 Ta 2.02

Symmetry = P2/m (10)
VASP energy = -8.24 eV per atom
V = 157.3 Å³/cell
Uncorrected formation energy = -2835 kJ/mol of formula units

A relaxed structure of CaTaSbO5. Source: the Alexandria database, functional PBE-GGA.

Unit cell a=6.0803 b=6.0803 c=8.1164 alpha=109.98 beta=109.98 gamma=99.61
With the nearest neighbours (Å) after each atom.
Sites, in units of the cell vectors:
Ca1 0.3185 0.6815 0.2500  4 O 2.25-2.35
Ca2 0.6815 0.3185 0.7500  4 O 2.25-2.35
Ta1 0.0000 0.0000 0.5000  6 O 2.01-2.03
Ta2 0.0000 0.0000 0.0000  6 O 2.01-2.03
Sb1 0.6919 0.3081 0.2500  4 O 2.03-2.27
Sb2 0.3081 0.6919 0.7500  4 O 2.03-2.27
O1 0.9996 0.0004 0.2500  2 Ta 2.03
O2 0.0004 0.9996 0.7500  2 Ta 2.03
O3 0.8366 0.2629 0.0215  1 Ta 2.01, 1 Ca 2.25
O4 0.1634 0.7371 0.9785  1 Ta 2.01, 1 Ca 2.25
O5 0.7371 0.1634 0.4785  1 Ta 2.01, 1 Ca 2.25
O6 0.2629 0.8366 0.5215  1 Ta 2.01, 1 Ca 2.25
O7 0.7277 0.6730 0.3490  1 Ta 2.01, 1 Sb 2.03
O8 0.2723 0.3270 0.6510  1 Ta 2.01, 1 Sb 2.03
O9 0.3270 0.2723 0.1510  1 Ta 2.01, 1 Sb 2.03
O10 0.6730 0.7277 0.8490  1 Ta 2.01, 1 Sb 2.03

Symmetry = C2/c (15)
VASP energy = -7.73 eV per atom
V = 251.0 Å³/cell
Uncorrected formation energy = -1842 kJ/mol of formula units